{"formula": "TmCdRh2", "functional": "GGA-PBE", "state": "relaxed", "polymorph_energy_ev_per_atom": 0.062, "density_kg_m3": 11271, "delta_e_f_mev_per_atom": -587, "n_ef_per_ev_cell": 1.83, "lattice_angstrom": [[-2.1629, -2.5448, 0.0010], [1.7144, -1.4561, 2.4687], [-3.6234, 3.0814, 4.3338]], "species": ["Rh", "Rh", "Tm", "Cd"], "fractional_positions": [[0.0000, 0.0000, 0.2531], [0.0000, 0.0000, 0.7469], [0.5000, 0.5000, 0.0000], [0.5000, 0.5000, 0.5000]]}


{"formula": "BaTcAu3", "functional": "GGA-PBE", "state": "relaxed", "polymorph_energy_ev_per_atom": 0.000, "density_kg_m3": 9913, "delta_e_f_mev_per_atom": 115, "n_ef_per_ev_cell": 3.68, "lattice_angstrom": [[-2.6797, -2.5750, 3.5980], [4.3837, -2.1148, 1.7513], [0.5992, 3.9565, 3.2778]], "species": ["Tc", "Au", "Au", "Au", "Ba"], "fractional_positions": [[0.0000, 0.0000, 0.0000], [0.0000, 0.0000, 0.5000], [0.5000, 0.0000, 0.0000], [0.0000, 0.5000, 0.0000], [0.5000, 0.5000, 0.5000]]}


{"formula": "Li6ErB3O9", "functional": "GGA-PBE", "state": "relaxed", "formation_energy_uncorrected_ev_per_atom": -2.492, "density_kg_m3": 3329, "n_ef_per_ev_cell": 0.00, "lattice_angstrom": [[-0.9367, 3.1938, 5.7993], [-6.1154, -3.6797, -1.1610], [6.2324, -12.9205, 8.1222]], "species": ["O", "O", "O", "O", "O", "O", "O", "O", "O", "O", "O", "O", "O", "O", "O", "O", "O", "O", "O", "O", "O", "O", "O", "O", "O", "O", "O", "O", "O", "O", "O", "O", "O", "O", "O", "O", "Er", "Er", "Er", "Er", "Li", "Li", "Li", "Li", "Li", "Li", "Li", "Li", "Li", "Li", "Li", "Li", "Li", "Li", "Li", "Li", "Li", "Li", "Li", "Li", "Li", "Li", "Li", "Li", "B", "B", "B", "B", "B", "B", "B", "B", "B", "B", "B", "B"], "fractional_positions": [[0.8347, 0.6432, 0.1861], [0.2715, 0.2250, 0.5691], [0.0775, 0.8947, 0.5795], [0.1653, 0.3568, 0.8139], [0.5439, 0.3820, 0.4252], [0.7715, 0.2250, 0.9309], [0.0589, 0.2423, 0.2030], [0.4411, 0.7577, 0.7030], [0.4144, 0.0382, 0.4111], [0.5775, 0.8947, 0.9205], [0.9144, 0.0382, 0.0889], [0.2304, 0.0810, 0.6987], [0.4561, 0.6180, 0.5748], [0.2285, 0.7750, 0.0691], [0.9711, 0.5104, 0.3255], [0.7696, 0.9190, 0.3013], [0.4711, 0.5104, 0.1745], [0.6653, 0.3568, 0.6861], [0.5589, 0.2423, 0.2970], [0.5856, 0.9618, 0.5889], [0.3240, 0.4108, 0.9464], [0.6760, 0.5892, 0.0536], [0.0856, 0.9618, 0.9111], [0.9411, 0.7577, 0.7970], [0.9561, 0.6180, 0.9252], [0.0289, 0.4896, 0.6745], [0.7285, 0.7750, 0.4309], [0.1760, 0.5892, 0.4464], [0.7304, 0.0810, 0.8013], [0.3347, 0.6432, 0.3139], [0.8240, 0.4108, 0.5536], [0.9225, 0.1053, 0.4205], [0.5289, 0.4896, 0.8255], [0.4225, 0.1053, 0.0795], [0.2696, 0.9190, 0.1987], [0.0439, 0.3820, 0.0748], [0.6530, 0.5798, 0.3100], [0.3470, 0.4202, 0.6900], [0.1530, 0.5798, 0.1900], [0.8470, 0.4202, 0.8100], [0.9443, 0.8068, 0.0351], [0.5870, 0.6361, 0.9463], [0.6352, 0.7845, 0.7941], [0.9548, 0.9370, 0.2050], [0.3301, 0.9540, 0.9698], [0.8648, 0.2155, 0.2941], [0.4548, 0.9370, 0.2950], [0.1699, 0.0460, 0.4698], [0.9130, 0.3639, 0.4463], [0.5452, 0.0630, 0.7050], [0.1352, 0.7845, 0.7059], [0.6763, 0.5715, 0.5045], [0.4443, 0.8068, 0.4649], [0.0452, 0.0630, 0.7950], [0.6699, 0.0460, 0.0302], [0.5557, 0.1932, 0.5351], [0.8301, 0.9540, 0.5302], [0.0557, 0.1932, 0.9649], [0.3237, 0.4285, 0.4955], [0.3648, 0.2155, 0.2059], [0.8237, 0.4285, 0.0045], [0.1763, 0.5715, 0.9955], [0.4130, 0.3639, 0.0537], [0.0870, 0.6361, 0.5537], [0.3099, 0.9383, 0.1158], [0.6617, 0.5843, 0.1361], [0.6901, 0.0617, 0.8842], [0.3383, 0.4157, 0.8639], [0.1901, 0.0617, 0.6158], [0.4983, 0.7846, 0.6214], [0.8383, 0.4157, 0.6361], [0.9983, 0.7846, 0.8786], [0.1617, 0.5843, 0.3639], [0.8099, 0.9383, 0.3842], [0.5017, 0.2154, 0.3786], [0.0017, 0.2154, 0.1214]]}


{"formula": "Na2ZrCdCo", "functional": "GGA-PBE", "state": "relaxed", "density_kg_m3": 3983, "delta_e_f_mev_per_atom": 1141, "n_ef_per_ev_cell": 4.77, "lattice_angstrom": [[5.0562, 0.0000, 0.0000], [0.0000, 5.0562, 0.0000], [0.0000, 0.0000, 5.0322]], "species": ["Co", "Cd", "Zr", "Na", "Na"], "fractional_positions": [[0.0000, 0.0000, 0.5000], [0.0000, 0.0000, 0.0000], [0.5000, 0.5000, 0.5000], [0.5000, 0.0000, 0.0000], [0.0000, 0.5000, 0.0000]]}


{"formula": "SrOs", "functional": "GGA-PBE", "state": "relaxed", "density_kg_m3": 4729, "delta_e_f_mev_per_atom": 1352, "n_ef_per_ev_cell": 15.69, "lattice_angstrom": [[9.2069, 0.0000, 0.0000], [0.0000, 9.2069, 0.0000], [0.0000, 0.0000, 9.2069]], "species": ["Sr", "Sr", "Sr", "Sr", "Sr", "Sr", "Sr", "Sr", "Os", "Os", "Os", "Os", "Os", "Os", "Os", "Os"], "fractional_positions": [[0.7897, 0.2103, 0.7897], [0.2897, 0.2897, 0.7103], [0.7103, 0.2897, 0.2897], [0.7103, 0.7103, 0.7103], [0.2103, 0.2103, 0.2103], [0.7897, 0.7897, 0.2103], [0.2897, 0.7103, 0.2897], [0.2103, 0.7897, 0.7897], [0.4025, 0.5975, 0.5975], [0.5975, 0.4025, 0.5975], [0.9025, 0.0975, 0.0975], [0.0975, 0.0975, 0.9025], [0.9025, 0.9025, 0.9025], [0.5975, 0.5975, 0.4025], [0.4025, 0.4025, 0.4025], [0.0975, 0.9025, 0.0975]]}


{"formula": "Sb2AsO", "functional": "GGA-PBE", "state": "relaxed", "formation_energy_uncorrected_ev_per_atom": 0.153, "polymorph_energy_ev_per_atom": 0.304, "density_kg_m3": 7286, "n_ef_per_ev_cell": 1.20, "lattice_angstrom": [[-2.1875, -3.3048, 2.6350], [-2.3222, 1.2651, 3.9568], [-4.7541, -0.1774, 0.1287]], "species": ["Sb", "Sb", "O", "As"], "fractional_positions": [[0.2500, 0.2500, 0.2500], [0.7500, 0.7500, 0.7500], [0.0000, 0.0000, 0.0000], [0.5000, 0.5000, 0.5000]]}